# 1
Material: CdSnN2
Method: DFT, SCAN
State: PBEsol geometry

Values from the calculation:
Space-group type: Fm-3m, No. 225
Crystal system: cubic

Unit cell a=4.1525 b=4.1525 c=4.1525 alpha=60.00 beta=60.00 gamma=60.00
With the nearest neighbours (Å) after each atom.
Sites, in units of the cell vectors:
1 Cd 0.0000 0.0000 0.0000  8 N 2.54
2 Sn 0.5000 0.5000 0.5000  8 N 2.54
3 N 0.2500 0.2500 0.2500  4 Cd 2.54, 4 Sn 2.54
4 N 0.7500 0.7500 0.7500  4 Cd 2.54, 4 Sn 2.54



# 2
Material: Sr3CdN
Method: DFT, SCAN
State: PBEsol geometry

Values from the calculation:
Space-group type: Pm-3m, No. 221
Crystal system: cubic

Unit cell a=5.2290 b=5.2290 c=5.2290 alpha=90.00 beta=90.00 gamma=90.00
With the nearest neighbours (Å) after each atom.
Sites, in units of the cell vectors:
1 Sr 0.0000 0.0000 0.5000  2 N 2.61
2 Sr 0.0000 0.5000 0.0000  2 N 2.61
3 Sr 0.5000 0.0000 0.0000  2 N 2.61
4 Cd 0.5000 0.5000 0.5000  12 Sr 3.70
5 N 0.0000 0.0000 0.0000  6 Sr 2.61



Sequential D(E_F) output: 1.8; 2.9 states/eV/f.u.
Sequential E_form (uncorrected) output: 1.32; -0.53 eV per atom